Entry 1:
GdW: relaxed, GGA-PBE.

For the formation energy, the calculation gives 344 kJ/mol of formula units. The value obtained for the offset from the most stable computed form is 994 meV/atom. The total moment is 0.0341 μB/atom.

a = 4.1216 Å, b = 4.1216 Å, c = 4.1216 Å
α = 60.00°, β = 60.00°, γ = 60.00°
Sites, in units of the cell vectors:
Gd  0.0000  0.0000  0.0000
W  0.5000  0.5000  0.5000

---

Entry 2:
HfTcAg: relaxed, GGA-PBE.

For the formation energy, the calculation gives 209 kJ/mol of formula units. The value obtained for the offset from the most stable computed form is 0 meV/atom. The total moment is 0.4430 μB/atom.

a = 4.4580 Å, b = 4.4580 Å, c = 4.4580 Å
α = 60.00°, β = 60.00°, γ = 60.00°
Sites, in units of the cell vectors:
Hf  0.0000  0.0000  0.0000
Tc  0.7500  0.7500  0.7500
Ag  0.5000  0.5000  0.5000

---

Entry 3:
GaB3W4: relaxed, GGA-PBE.

The energy is -152.39 eV per cell. The total moment is 0.0006 μB/atom.

a = 3.1337 Å, b = 3.1337 Å, c = 23.5908 Å
α = 90.00°, β = 90.00°, γ = 120.00°
Sites, in units of the cell vectors:
Ga  0.3333  0.6667  0.2500
Ga  0.6667  0.3333  0.7500
B  0.0000  0.0000  0.0000
B  0.0000  0.0000  0.5000
B  0.3333  0.6667  0.6115
B  0.3333  0.6667  0.8885
B  0.6667  0.3333  0.1115
B  0.6667  0.3333  0.3885
W  0.0000  0.0000  0.1610
W  0.0000  0.0000  0.3390
W  0.0000  0.0000  0.6610
W  0.0000  0.0000  0.8390
W  0.3333  0.6667  0.0574
W  0.3333  0.6667  0.4426
W  0.6667  0.3333  0.5574
W  0.6667  0.3333  0.9426

---

Entry 4:
TbPr2Cd3Ag3: relaxed, GGA-PBE.

For the formation energy, the calculation gives -290 kJ/mol of formula units. The total moment is 0.0011 μB/atom.

a = 4.0308 Å, b = 7.9668 Å, c = 7.9668 Å
α = 119.92°, β = 90.00°, γ = 90.00°
Sites, in units of the cell vectors:
Tb  0.0000  0.0000  0.0000
Pr  0.0000  0.4062  0.8118
Pr  0.0000  0.8118  0.4062
Cd  0.5000  0.1462  0.4028
Cd  0.5000  0.4028  0.1462
Cd  0.5000  0.6681  0.6681
Ag  0.0000  0.4034  0.4034
Ag  0.5000  0.0710  0.7453
Ag  0.5000  0.7453  0.0710

---

Entry 5:
Dy3ErIn2: relaxed, GGA-PBE.

The energy is -25.96 eV per cell. The total moment is 0.1237 μB/atom.

a = 5.3717 Å, b = 5.3717 Å, c = 6.7012 Å
α = 90.00°, β = 90.00°, γ = 120.00°
Sites, in units of the cell vectors:
Dy  0.0000  0.0000  0.0000
Dy  0.6667  0.3333  0.2509
Dy  0.6667  0.3333  0.7491
Er  0.3333  0.6667  0.5000
In  0.0000  0.0000  0.5000
In  0.3333  0.6667  0.0000

---

Entry 6:
GdEr2Ga3CoGe2: relaxed, GGA-PBE.

The energy is -45.49 eV per cell. The total moment is 0.0020 μB/atom.

a = 4.1266 Å, b = 6.9441 Å, c = 6.9441 Å
α = 120.22°, β = 90.00°, γ = 90.00°
Sites, in units of the cell vectors:
Gd  0.0000  0.0000  0.0000
Er  0.0000  0.2004  0.5997
Er  0.0000  0.5997  0.2004
Ga  0.5000  0.3704  0.3704
Ga  0.5000  0.5973  0.8277
Ga  0.5000  0.8277  0.5973
Co  0.0000  0.5955  0.5955
Ge  0.5000  0.2688  0.9310
Ge  0.5000  0.9310  0.2688

---

Entry 7:
Na5Nd4Ge4O16F: relaxed, GGA-PBE.

The energy is -197.40 eV per cell. The total moment is 0.0006 μB/atom.

a = 8.9451 Å, b = 8.9451 Å, c = 8.9451 Å
α = 95.73°, β = 95.73°, γ = 143.16°
Sites, in units of the cell vectors:
Na  0.0000  0.0000  0.0000
Na  0.1205  0.4305  0.5142
Na  0.3938  0.8795  0.3100
Na  0.5695  0.0838  0.6900
Na  0.9162  0.6062  0.4858
Nd  0.3440  0.6411  0.9332
Nd  0.3589  0.2921  0.7030
Nd  0.5891  0.6560  0.2970
Nd  0.7079  0.4109  0.0668
Ge  0.0932  0.7422  0.8538
Ge  0.2578  0.1116  0.3509
Ge  0.7607  0.9068  0.6491
Ge  0.8884  0.2393  0.1462
O  0.0600  0.2438  0.7472
O  0.1483  0.6484  0.7132
O  0.1662  0.7215  0.0382
O  0.1778  0.3938  0.1252
O  0.2686  0.0526  0.8748
O  0.2785  0.3167  0.4447
O  0.3516  0.0649  0.4999
O  0.4966  0.3127  0.2528
O  0.5650  0.8517  0.5001
O  0.6062  0.7314  0.7839
O  0.6833  0.1279  0.9618
O  0.6873  0.9400  0.1838
O  0.7562  0.5034  0.8162
O  0.8721  0.8338  0.5553
O  0.9351  0.4350  0.2868
O  0.9474  0.8222  0.2161
F  0.5000  0.5000  0.0000

---

Entry 8:
Sr3Sc2Au2S2O5: relaxed, GGA-PBE.

The energy is -89.48 eV per cell. The total moment is 0.0000 μB/atom.

a = 13.7800 Å, b = 13.7800 Å, c = 13.7800 Å
α = 162.81°, β = 162.81°, γ = 24.40°
Sites, in units of the cell vectors:
Sr  0.0000  0.0000  0.0000
Sr  0.1391  0.1391  0.0000
Sr  0.8609  0.8609  0.0000
Sc  0.4264  0.4264  0.0000
Sc  0.5736  0.5736  0.0000
Au  0.2500  0.7500  0.5000
Au  0.7500  0.2500  0.5000
S  0.3151  0.3151  0.0000
S  0.6849  0.6849  0.0000
O  0.0828  0.5828  0.5000
O  0.4172  0.9172  0.5000
O  0.5000  0.5000  0.0000
O  0.5828  0.0828  0.5000
O  0.9172  0.4172  0.5000